CoSe2Br: optimized geometry, PBE.

Summary:
- Uncorrected formation energy: 0.817 eV per atom
- E_tot: -3.120 eV/atom
- Energy above the most stable polymorph in this dataset: 1023 meV per atom

Unit cell a=4.7565 b=4.7565 c=4.7565 alpha=60.00 beta=60.00 gamma=60.00
Fractional coordinates of all 4 atoms:
Co 0.0000 0.0000 0.0000
Se 0.2500 0.2500 0.2500
Se 0.7500 0.7500 0.7500
Br 0.5000 0.5000 0.5000

***

Rb3DyTm3Te8: optimized geometry, PBE.

Summary:
- Uncorrected formation energy: -1.300 eV per atom
- E_tot: -4.370 eV/atom

Unit cell a=10.1711 b=10.1711 c=10.1711 alpha=50.90 beta=50.90 gamma=50.90
Fractional coordinates of all 15 atoms:
Rb 0.0000 0.5000 0.5000
Rb 0.5000 0.0000 0.5000
Rb 0.5000 0.5000 0.0000
Dy 0.5000 0.5000 0.5000
Tm 0.0000 0.0000 0.5000
Tm 0.0000 0.5000 0.0000
Tm 0.5000 0.0000 0.0000
Te 0.2276 0.7355 0.7355
Te 0.2325 0.2325 0.2325
Te 0.2645 0.2645 0.7724
Te 0.2645 0.7724 0.2645
Te 0.7355 0.2276 0.7355
Te 0.7355 0.7355 0.2276
Te 0.7675 0.7675 0.7675
Te 0.7724 0.2645 0.2645

***

CePrSn: optimized geometry, PBE.

Summary:
- ΔH_f (0 K): -0.442 eV/atom
- E_tot: -5.348 eV/atom
- Energy above the most stable polymorph in this dataset: 119 meV per atom

Unit cell a=5.7581 b=5.7581 c=5.7581 alpha=136.85 beta=136.85 gamma=62.67
Fractional coordinates of all 3 atoms:
Ce 0.0000 0.0000 0.0000
Pr 0.7006 0.7006 0.0000
Sn 0.3520 0.3520 0.0000

***

Tl4SbS5: optimized geometry, PBE.

Summary:
- Uncorrected formation energy: -0.211 eV per atom
- E_tot: -3.634 eV/atom

Unit cell a=7.2890 b=7.2890 c=7.2890 alpha=98.98 beta=98.98 gamma=133.46
Fractional coordinates of all 10 atoms:
Tl 0.1003 0.3027 0.4030
Tl 0.3027 0.8997 0.2024
Tl 0.6973 0.1003 0.7976
Tl 0.8997 0.6973 0.5970
Sb 0.5103 0.5103 0.0000
S 0.2179 0.5932 0.8130
S 0.4049 0.2179 0.6247
S 0.5932 0.7802 0.3753
S 0.7802 0.4049 0.1870
S 0.9394 0.9394 0.0000

***

RePtCl2: optimized geometry, PBE.

Summary:
- Uncorrected formation energy: 0.349 eV per atom
- E_tot: -5.197 eV/atom
- Energy above the most stable polymorph in this dataset: 329 meV per atom

Unit cell a=3.0718 b=3.0718 c=9.7966 alpha=90.00 beta=90.00 gamma=124.67
Fractional coordinates of all 4 atoms:
Re 0.0000 0.0000 0.0000
Pt 0.5000 0.5000 0.2256
Cl 0.0000 0.0000 0.4444
Cl 0.5000 0.5000 0.8007

***

AlZn2Se: optimized geometry, PBE.

Summary:
- Uncorrected formation energy: 0.245 eV per atom
- E_tot: -2.199 eV/atom
- Energy above the most stable polymorph in this dataset: 387 meV per atom

Unit cell a=4.7626 b=4.7626 c=4.7626 alpha=60.00 beta=60.00 gamma=60.00
Fractional coordinates of all 4 atoms:
Al 0.0000 0.0000 0.0000
Zn 0.2500 0.2500 0.2500
Zn 0.7500 0.7500 0.7500
Se 0.5000 0.5000 0.5000

***

LaPaPdRu: optimized geometry, PBE.

Summary:
- ΔH_f (0 K): -0.326 eV/atom
- E_tot: -7.549 eV/atom

Unit cell a=4.9892 b=4.9892 c=4.9892 alpha=60.00 beta=60.00 gamma=60.00
Fractional coordinates of all 4 atoms:
La 0.0000 0.0000 0.0000
Pa 0.5000 0.5000 0.5000
Pd 0.7500 0.7500 0.7500
Ru 0.2500 0.2500 0.2500

***

ZnFe2Br: optimized geometry, PBE.

Summary:
- Uncorrected formation energy: 0.244 eV per atom
- E_tot: -4.724 eV/atom
- Energy above the most stable polymorph in this dataset: 0 meV per atom

Unit cell a=3.2120 b=3.0898 c=6.9567 alpha=90.00 beta=90.09 gamma=90.00
Fractional coordinates of all 4 atoms:
Zn 0.0000 0.0000 0.0000
Fe 0.0014 0.0000 0.3662
Fe 0.5009 0.5000 0.2015
Br 0.0004 0.5000 0.6512

***

Y2BRu2: optimized geometry, PBE.

Summary:
- ΔH_f (0 K): -0.345 eV/atom
- E_tot: -7.977 eV/atom
- Energy above the most stable polymorph in this dataset: 0 meV per atom

Unit cell a=6.1362 b=6.1362 c=6.0869 alpha=101.91 beta=101.91 gamma=54.32
Fractional coordinates of all 10 atoms:
Y 0.0008 0.7244 0.8896
Y 0.2756 0.9992 0.6104
Y 0.7244 0.0008 0.3896
Y 0.9992 0.2756 0.1104
B 0.4459 0.5541 0.2500
B 0.5541 0.4459 0.7500
Ru 0.2533 0.5005 0.4688
Ru 0.4995 0.7467 0.0312
Ru 0.5005 0.2533 0.9688
Ru 0.7467 0.4995 0.5312

***

HgOs2: optimized geometry, PBE.

Summary:
- ΔH_f (0 K): 1.030 eV/atom
- E_tot: -6.557 eV/atom
- Energy above the most stable polymorph in this dataset: 635 meV per atom

Unit cell a=12.7732 b=12.7732 c=12.7732 alpha=161.97 beta=161.97 gamma=25.60
Fractional coordinates of all 12 atoms:
Hg 0.2911 0.5411 0.7500
Hg 0.4589 0.7089 0.7500
Hg 0.5411 0.2911 0.2500
Hg 0.7089 0.4589 0.2500
Os 0.0523 0.8023 0.2500
Os 0.1306 0.3806 0.7500
Os 0.1977 0.9477 0.2500
Os 0.3806 0.1306 0.2500
Os 0.6194 0.8694 0.7500
Os 0.8023 0.0523 0.7500
Os 0.8694 0.6194 0.2500
Os 0.9477 0.1977 0.7500

***

NiPd5Au: optimized geometry, PBE.

Summary:
- ΔH_f (0 K): 0.273 eV/atom
- E_tot: -4.731 eV/atom
- Energy above the most stable polymorph in this dataset: 156 meV per atom

Unit cell a=6.4959 b=6.4959 c=6.8139 alpha=112.95 beta=112.95 gamma=70.38
Fractional coordinates of all 14 atoms:
Ni 0.0000 0.5000 0.0000
Ni 0.5000 0.0000 0.5000
Pd 0.0859 0.9141 0.2500
Pd 0.1254 0.2930 0.5979
Pd 0.1602 0.7022 0.8653
Pd 0.2930 0.1254 0.0979
Pd 0.2978 0.8398 0.6347
Pd 0.7022 0.1602 0.3653
Pd 0.7070 0.8746 0.9021
Pd 0.8398 0.2978 0.1347
Pd 0.8746 0.7070 0.4021
Pd 0.9141 0.0859 0.7500
Au 0.4487 0.5513 0.2500
Au 0.5513 0.4487 0.7500

***

SrZn3Cr: optimized geometry, PBE.

Summary:
- ΔH_f (0 K): 1.242 eV/atom
- E_tot: -1.783 eV/atom
- Energy above the most stable polymorph in this dataset: 1047 meV per atom

Unit cell a=5.8654 b=5.8654 c=5.8654 alpha=90.00 beta=90.00 gamma=90.00
Fractional coordinates of all 5 atoms:
Sr 0.0000 0.0000 0.0000
Zn 0.0000 0.0000 0.5000
Zn 0.0000 0.5000 0.0000
Zn 0.5000 0.0000 0.0000
Cr 0.5000 0.5000 0.5000

***

Tb2NdSm: optimized geometry, PBE.

Summary:
- ΔH_f (0 K): 0.012 eV/atom
- E_tot: -4.675 eV/atom
- Energy above the most stable polymorph in this dataset: 0 meV per atom

Unit cell a=11.8668 b=11.8668 c=11.8668 alpha=17.58 beta=17.58 gamma=17.58
Fractional coordinates of all 4 atoms:
Tb 0.0000 0.0000 0.0000
Tb 0.1660 0.1660 0.1660
Nd 0.5829 0.5829 0.5829
Sm 0.7492 0.7492 0.7492

***

MnIn2Ru: optimized geometry, PBE.

Summary:
- ΔH_f (0 K): 0.148 eV/atom
- E_tot: -5.832 eV/atom
- Energy above the most stable polymorph in this dataset: 20 meV per atom

Unit cell a=3.2418 b=4.5471 c=4.7138 alpha=90.00 beta=90.13 gamma=90.00
Fractional coordinates of all 4 atoms:
Mn 0.0000 0.0000 0.0000
In 0.4995 0.5000 0.9038
In 0.5001 0.0000 0.4816
Ru 0.0001 0.5000 0.3843

***

NaAlAgSn: optimized geometry, PBE.

Summary:
- ΔH_f (0 K): 0.046 eV/atom
- E_tot: -2.932 eV/atom

Unit cell a=4.9296 b=4.9296 c=4.9296 alpha=60.00 beta=60.00 gamma=60.00
Fractional coordinates of all 4 atoms:
Na 0.0000 0.0000 0.0000
Al 0.5000 0.5000 0.5000
Ag 0.7500 0.7500 0.7500
Sn 0.2500 0.2500 0.2500

***

SiHg2Os: optimized geometry, PBE.

Summary:
- Uncorrected formation energy: 0.480 eV per atom
- E_tot: -3.834 eV/atom

Unit cell a=6.5537 b=6.5537 c=6.5537 alpha=153.97 beta=137.61 gamma=50.42
Fractional coordinates of all 4 atoms:
Si 0.0000 0.0000 0.0000
Hg 0.3247 0.8247 0.5000
Hg 0.6263 0.6263 0.0000
Os 0.8453 0.3453 0.5000

***

AlZnCd2: optimized geometry, PBE.

Summary:
- ΔH_f (0 K): 0.089 eV/atom
- E_tot: -1.623 eV/atom
- Energy above the most stable polymorph in this dataset: 31 meV per atom

Unit cell a=2.9806 b=4.1217 c=6.3705 alpha=90.00 beta=90.00 gamma=90.00
Fractional coordinates of all 4 atoms:
Al 0.0000 0.0000 0.0000
Zn 0.5000 0.5000 0.8088
Cd 0.0000 0.0000 0.5447
Cd 0.5000 0.5000 0.2645

***

PmSb2Pb: optimized geometry, PBE.

Summary:
- Uncorrected formation energy: -0.413 eV per atom
- E_tot: -4.589 eV/atom
- Energy above the most stable polymorph in this dataset: 92 meV per atom

Unit cell a=7.7714 b=7.7714 c=7.7714 alpha=34.75 beta=34.75 gamma=34.75
Fractional coordinates of all 4 atoms:
Pm 0.0000 0.0000 0.0000
Sb 0.4116 0.4116 0.4116
Sb 0.5888 0.5888 0.5888
Pb 0.8283 0.8283 0.8283

***

H6Se3Br2: optimized geometry, PBE.

Summary:
- E_tot: -3.183 eV/atom

Unit cell a=6.7586 b=6.7673 c=12.3005 alpha=101.08 beta=100.66 gamma=95.11
Fractional coordinates of all 22 atoms:
H 0.0713 0.2914 0.3852
H 0.0911 0.7875 0.8337
H 0.1972 0.4201 0.1132
H 0.2696 0.5755 0.3328
H 0.3553 0.1032 0.6602
H 0.4151 0.1725 0.8392
H 0.5849 0.8275 0.1608
H 0.6447 0.8968 0.3398
H 0.7304 0.4245 0.6672
H 0.8028 0.5799 0.8868
H 0.9089 0.2125 0.1663
H 0.9287 0.7086 0.6148
Se 0.1153 0.6297 0.2434
Se 0.1449 0.6334 0.7434
Se 0.4904 0.0329 0.7512
Se 0.5096 0.9671 0.2488
Se 0.8551 0.3666 0.2566
Se 0.8847 0.3703 0.7566
Br 0.2275 0.2441 0.0224
Br 0.2551 0.2729 0.4739
Br 0.7449 0.7271 0.5261
Br 0.7725 0.7559 0.9776

***

Zr3Ta: optimized geometry, PBE.

Summary:
- ΔH_f (0 K): 0.157 eV/atom
- E_tot: -9.217 eV/atom
- Energy above the most stable polymorph in this dataset: 54 meV per atom

Unit cell a=3.0567 b=4.6166 c=6.2091 alpha=90.00 beta=90.00 gamma=90.00
Fractional coordinates of all 4 atoms:
Zr 0.0000 0.0000 0.0000
Zr 0.5000 0.5000 0.2603
Zr 0.5000 0.5000 0.7397
Ta 0.0000 0.0000 0.5000

***

MnTl3Pt: optimized geometry, PBE.

Summary:
- ΔH_f (0 K): 0.492 eV/atom
- E_tot: -3.970 eV/atom
- Energy above the most stable polymorph in this dataset: 0 meV per atom

Unit cell a=5.3392 b=5.3392 c=5.3392 alpha=90.00 beta=90.00 gamma=90.00
Fractional coordinates of all 5 atoms:
Mn 0.0000 0.0000 0.0000
Tl 0.0000 0.5000 0.5000
Tl 0.5000 0.0000 0.5000
Tl 0.5000 0.5000 0.0000
Pt 0.5000 0.5000 0.5000

***

IrRh4W: optimized geometry, PBE.

Summary:
- ΔH_f (0 K): 0.317 eV/atom
- E_tot: -8.219 eV/atom
- Energy above the most stable polymorph in this dataset: 256 meV per atom

Unit cell a=5.0304 b=5.0304 c=5.0304 alpha=60.00 beta=60.00 gamma=60.00
Fractional coordinates of all 6 atoms:
Ir 0.0000 0.0000 0.0000
Rh 0.3746 0.3746 0.3746
Rh 0.3746 0.3746 0.8762
Rh 0.3746 0.8762 0.3746
Rh 0.8762 0.3746 0.3746
W 0.7500 0.7500 0.7500

***

NdSm2Sn: optimized geometry, PBE.

Summary:
- ΔH_f (0 K): -0.245 eV/atom
- E_tot: -4.798 eV/atom
- Energy above the most stable polymorph in this dataset: 200 meV per atom

Unit cell a=5.5281 b=5.5281 c=5.5281 alpha=60.00 beta=60.00 gamma=60.00
Fractional coordinates of all 4 atoms:
Nd 0.0000 0.0000 0.0000
Sm 0.2500 0.2500 0.2500
Sm 0.7500 0.7500 0.7500
Sn 0.5000 0.5000 0.5000

***

Sc2Be2Al: optimized geometry, PBE.

Summary:
- ΔH_f (0 K): -0.222 eV/atom
- E_tot: -4.994 eV/atom

Unit cell a=6.4652 b=6.4652 c=3.8621 alpha=90.00 beta=90.00 gamma=90.00
Fractional coordinates of all 10 atoms:
Sc 0.1712 0.3288 0.0000
Sc 0.3288 0.8288 0.0000
Sc 0.6712 0.1712 0.0000
Sc 0.8288 0.6712 0.0000
Be 0.1207 0.6207 0.5000
Be 0.3793 0.1207 0.5000
Be 0.6207 0.8793 0.5000
Be 0.8793 0.3793 0.5000
Al 0.0000 0.0000 0.5000
Al 0.5000 0.5000 0.5000

***

CrOs2W: optimized geometry, PBE.

Summary:
- ΔH_f (0 K): 0.326 eV/atom
- E_tot: -10.933 eV/atom
- Energy above the most stable polymorph in this dataset: 235 meV per atom

Unit cell a=4.3361 b=4.3361 c=4.3361 alpha=60.00 beta=60.00 gamma=60.00
Fractional coordinates of all 4 atoms:
Cr 0.0000 0.0000 0.0000
Os 0.2500 0.2500 0.2500
Os 0.7500 0.7500 0.7500
W 0.5000 0.5000 0.5000

***

LaPrErTm: optimized geometry, PBE.

Summary:
- ΔH_f (0 K): 0.084 eV/atom
- E_tot: -4.602 eV/atom
- Energy above the most stable polymorph in this dataset: 0 meV per atom

Unit cell a=5.7595 b=5.7595 c=5.7595 alpha=60.00 beta=60.00 gamma=60.00
Fractional coordinates of all 4 atoms:
La 0.0000 0.0000 0.0000
Pr 0.5000 0.5000 0.5000
Er 0.7500 0.7500 0.7500
Tm 0.2500 0.2500 0.2500